Entry 1:
Material: Pm2Ga5Cu
Method: DFT, PBE
State: optimized geometry

Its magnetic moment is 0.000 μB per formula unit. The symmetry is No. 107. For the formation energy, the calculation gives -0.4505 eV per atom. For the electronic total energy, the calculation gives -32.34 eV for the cell shown.

Lattice parameters (Å, degrees): 6.190 6.190 6.190 87.64 121.37 121.37
Sites, in units of the cell vectors:
Pm 0.500 0.267 0.767
Pm 0.500 0.767 0.267
Ga 0.453 0.741 0.741
Ga 0.000 0.741 0.288
Ga 0.000 0.288 0.741
Ga 0.547 0.288 0.288
Ga 0.000 0.229 0.229
Cu 0.000 0.899 0.899


Entry 2:
Material: Pm3Ga2Cu9
Method: DFT, PBE
State: optimized geometry

Its magnetic moment is 0.000 μB per formula unit. The symmetry is No. 71. For the formation energy, the calculation gives -0.2449 eV per atom. For the electronic total energy, the calculation gives -60.60 eV for the cell shown.

Lattice parameters (Å, degrees): 4.265 7.987 7.987 66.91 74.51 74.51
Sites, in units of the cell vectors:
Pm 0.000 0.000 0.000
Pm 0.705 0.295 0.295
Pm 0.295 0.705 0.705
Ga 0.500 0.307 0.693
Ga 0.500 0.693 0.307
Cu 0.000 0.500 0.500
Cu 0.664 0.980 0.692
Cu 0.336 0.020 0.308
Cu 0.664 0.692 0.980
Cu 0.336 0.308 0.020
Cu 0.870 0.845 0.415
Cu 0.130 0.155 0.585
Cu 0.870 0.415 0.845
Cu 0.130 0.585 0.155


Entry 3:
Material: PmGa8Cu2
Method: DFT, PBE
State: optimized geometry

Its magnetic moment is 0.000 μB per formula unit. The symmetry is No. 123. For the formation energy, the calculation gives 0.0346 eV per atom. For the electronic total energy, the calculation gives -36.78 eV for the cell shown.

Lattice parameters (Å, degrees): 5.626 5.626 7.878 90.00 90.00 90.00
Sites, in units of the cell vectors:
Pm 0.500 0.500 0.500
Ga 0.753 0.753 0.198
Ga 0.753 0.247 0.802
Ga 0.753 0.753 0.802
Ga 0.753 0.247 0.198
Ga 0.247 0.753 0.198
Ga 0.247 0.753 0.802
Ga 0.247 0.247 0.198
Ga 0.247 0.247 0.802
Cu 0.500 0.000 0.000
Cu 0.000 0.500 0.000


Entry 4:
Material: PmGaCu
Method: DFT, PBE
State: optimized geometry

Its magnetic moment is 0.000 μB per formula unit. The symmetry is No. 62. For the formation energy, the calculation gives -0.4796 eV per atom. For the electronic total energy, the calculation gives -53.25 eV for the cell shown. For the energy above the lowest structure with this stoichiometry, the calculation gives 9 meV/atom.

Lattice parameters (Å, degrees): 4.492 7.350 7.333 90.00 90.00 90.00
Sites, in units of the cell vectors:
Pm 0.250 0.796 0.487
Pm 0.750 0.296 0.013
Pm 0.250 0.704 0.987
Pm 0.750 0.204 0.513
Ga 0.750 0.909 0.191
Ga 0.750 0.591 0.691
Ga 0.250 0.091 0.809
Ga 0.250 0.409 0.309
Cu 0.750 0.580 0.311
Cu 0.750 0.920 0.811
Cu 0.250 0.080 0.189
Cu 0.250 0.420 0.689


Entry 5:
Material: Pm3Ga4Cu4
Method: DFT, PBE
State: optimized geometry

Its magnetic moment is 0.000 μB per formula unit. The symmetry is No. 71. For the formation energy, the calculation gives -0.4174 eV per atom. For the electronic total energy, the calculation gives -47.34 eV for the cell shown. For the energy above the lowest structure with this stoichiometry, the calculation gives 33 meV/atom.

Lattice parameters (Å, degrees): 4.343 6.865 8.172 114.84 105.41 90.00
Sites, in units of the cell vectors:
Pm 0.134 0.134 0.267
Pm 0.866 0.866 0.733
Pm 0.000 0.500 0.000
Ga 0.217 0.717 0.434
Ga 0.783 0.283 0.566
Ga 0.500 0.815 0.000
Ga 0.500 0.185 0.000
Cu 0.331 0.145 0.663
Cu 0.669 0.483 0.337
Cu 0.669 0.855 0.337
Cu 0.331 0.517 0.663


Entry 6:
Material: Pm3GaCu2
Method: DFT, PBE
State: optimized geometry

Its magnetic moment is 0.000 μB per formula unit. The symmetry is No. 164. For the formation energy, the calculation gives -0.2914 eV per atom. For the electronic total energy, the calculation gives -54.44 eV for the cell shown.

Lattice parameters (Å, degrees): 5.099 5.099 12.515 90.00 90.00 120.00
Sites, in units of the cell vectors:
Pm 0.333 0.667 0.418
Pm 0.667 0.333 0.078
Pm 0.000 0.000 0.756
Pm 0.000 0.000 0.244
Pm 0.333 0.667 0.922
Pm 0.667 0.333 0.582
Ga 0.333 0.667 0.670
Ga 0.667 0.333 0.330
Cu 0.000 0.000 0.500
Cu 0.333 0.667 0.171
Cu 0.667 0.333 0.829
Cu 0.000 0.000 0.000


no.,N(E_F) (states/eV/atom)
1,0.31
2,0.52
3,0.45
4,0.91
5,1.16
6,0.99